Record 1
PBE CaCr3, relaxed; DFT total energy = -27.77 eV/cell; crystal system = orthorhombic; volume = 18.2 Å³/atom; DOS(E_F) = 1.228 states/eV per atom
1.0
2.964 0.000 0.000
0.000 4.255 0.000
0.000 0.000 5.759
Cr Ca
3 1
direct
0.000 0.500 0.423
0.500 0.000 0.518
0.500 0.500 0.700
0.000 0.000 0.025

Record 2
PBE NaTi2Re, relaxed; DFT total energy = -28.20 eV/cell; excess energy over the best structure of this formula in the dataset = 0 meV/atom; crystal system = cubic; volume = 16.6 Å³/atom; DOS(E_F) = 1.352 states/eV per atom
1.0
-0.601 -4.288 1.391
-3.848 -1.186 2.115
-3.021 -2.670 -2.104
Ti Re Na
2 1 1
direct
0.250 0.250 0.250
0.750 0.750 0.750
0.500 0.500 0.500
0.000 0.000 0.000